# 1
Computed, not measured: an optimized crystal structure of Tb4PrDySe8 at the PBE level of DFT.

It has space group R3m (No. 160, hexagonal axes), with a = 8.5056 Å, b = 8.5056 Å, c = 20.8033 Å, α = 90.00°, β = 90.00° and γ = 120.00°. Symmetry generates all atoms from Tb at (0.0000, 0.0000, 0.0000), Tb at (0.0025, 0.5012, 0.8756), Pr at (0.0000, 0.0000, 0.7505), Dy at (0.0000, 0.0000, 0.3746), Se at (0.0000, 0.0000, 0.1321), Se at (0.0000, 0.0000, 0.6144), Se at (0.0303, 0.5151, 0.1287) and Se at (0.1766, 0.3532, 0.9568).

The uncorrected formation energy comes out at -24.08 eV per formula unit. For the calculated volume, the calculation gives 31.03 Å³/atom.


# 2
Computed, not measured: an optimized crystal structure of Rb2BiSeI6 at the PBE level of DFT.

It has space group I4/mmm (No. 139), with a = 8.775 Å, b = 8.775 Å, c = 12.012 Å, α = 90.00°, β = 90.00° and γ = 90.00°. Symmetry generates all atoms from Rb at (0.000, 0.500, 0.250), Bi at (0.000, 0.000, 0.000), Se at (0.000, 0.000, 0.500), I at (0.000, 0.000, 0.258) and I at (0.249, 0.249, 0.000).

The uncorrected formation energy comes out at -6.46 eV per formula unit. For the calculated volume, the calculation gives 46.25 Å³/atom.